No. 1
! Pa2Al3Rh (GGA-PBE, relaxed); values from VASP
! - E_form: -0.52 eV/atom
! - Symmetry: No. 12
! - Magnetic moment: 0.0 μB per formula unit
&SYSTEM
  ibrav = 0, nat = 6, ntyp = 3
/
ATOMIC_SPECIES
Pa 231.04 Pa.upf
Al 26.98 Al.upf
Rh 102.91 Rh.upf
ATOMIC_POSITIONS crystal
Pa 0.109 0.109 0.389
Pa 0.891 0.891 0.611
Al 0.000 0.500 0.000
Al 0.500 0.000 0.000
Al 0.500 0.500 0.500
Rh 0.500 0.500 0.000
CELL_PARAMETERS angstrom
4.524 -2.789 0.000
4.524 2.789 0.000
-2.796 0.000 4.505

***

No. 2
! PaAl3Rh (GGA-PBE, relaxed); values from VASP
! - E_form: -0.45 eV/atom
! - Symmetry: No. 14
! - Magnetic moment: 0.0 μB per formula unit
&SYSTEM
  ibrav = 0, nat = 20, ntyp = 3
/
ATOMIC_SPECIES
Pa 231.04 Pa.upf
Al 26.98 Al.upf
Rh 102.91 Rh.upf
ATOMIC_POSITIONS crystal
Pa 0.110 0.116 0.207
Pa 0.110 0.384 0.707
Pa 0.890 0.616 0.293
Pa 0.890 0.884 0.793
Al 0.142 0.622 0.052
Al 0.142 0.878 0.552
Al 0.285 0.588 0.360
Al 0.285 0.912 0.860
Al 0.401 0.169 0.556
Al 0.401 0.331 0.056
Al 0.599 0.669 0.944
Al 0.599 0.831 0.444
Al 0.715 0.088 0.140
Al 0.715 0.412 0.640
Al 0.858 0.122 0.448
Al 0.858 0.378 0.948
Rh 0.443 0.643 0.657
Rh 0.443 0.857 0.157
Rh 0.557 0.143 0.843
Rh 0.557 0.357 0.343
CELL_PARAMETERS angstrom
8.179 0.000 0.000
0.000 5.411 0.000
-1.199 0.000 8.128

***

Which of these has the highest E_form?
PaAl3Rh